VASP calculation (PBE+U) on an optimized crystal structure of FeAs2PdO8.

- energy (eV/atom) = -5.7882

The structure in POSCAR format:
```
FeAs2PdO8
1.0
5.673 0.220 0.000
-2.319 5.182 0.000
-1.677 -2.701 4.704
Fe As Pd O
1 2 1 8
direct
0.250 0.750 0.500
0.750 0.250 0.500
0.500 0.500 0.000
0.000 0.000 0.000
0.370 0.054 0.316
0.323 0.520 0.196
0.323 0.127 0.804
0.738 0.054 0.684
0.873 0.677 0.196
0.946 0.262 0.316
0.946 0.630 0.684
0.480 0.677 0.804
```